[1]
# Er3Hg2Pd, optimized geometry, DFT PBE-GGA
# **Total DFT energy (no corrections)**: -3.87 eV/atom
# **Total moment**: 0.0 μB per formula unit
data_Er3Hg2Pd
_space_group_name_H-M_alt 'P 1'
_space_group_IT_number 1
_space_group_name_Hall 'P 1'
_cell_length_a 3.617
_cell_length_b 3.617
_cell_length_c 10.866
_cell_angle_alpha 90.00
_cell_angle_beta 90.00
_cell_angle_gamma 90.00
loop_
_atom_site_label
_atom_site_type_symbol
_atom_site_fract_x
_atom_site_fract_y
_atom_site_fract_z
Er1 Er 0.000 0.000 0.000
Er2 Er 0.000 0.000 0.652
Er3 Er 0.000 0.000 0.348
Hg1 Hg 0.500 0.500 0.829
Hg2 Hg 0.500 0.500 0.171
Pd1 Pd 0.500 0.500 0.500

[2]
# Nd2GeB2Rh5, optimized geometry, DFT PBE-GGA
# **Total DFT energy (no corrections)**: -7.09 eV/atom
# **Total moment**: 0.0 μB per formula unit
data_Nd2GeB2Rh5
_space_group_name_H-M_alt 'P 1'
_space_group_IT_number 1
_space_group_name_Hall 'P 1'
_cell_length_a 3.288
_cell_length_b 9.594
_cell_length_c 9.594
_cell_angle_alpha 90.00
_cell_angle_beta 90.00
_cell_angle_gamma 90.00
loop_
_atom_site_label
_atom_site_type_symbol
_atom_site_fract_x
_atom_site_fract_y
_atom_site_fract_z
Nd1 Nd 0.000 0.677 0.177
Nd2 Nd 0.000 0.323 0.823
Nd3 Nd 0.000 0.177 0.323
Nd4 Nd 0.000 0.823 0.677
Ge1 Ge 0.000 0.000 0.000
Ge2 Ge 0.000 0.500 0.500
B1 B 0.000 0.121 0.621
B2 B 0.000 0.879 0.379
B3 B 0.000 0.621 0.879
B4 B 0.000 0.379 0.121
Rh1 Rh 0.500 0.222 0.069
Rh2 Rh 0.500 0.778 0.931
Rh3 Rh 0.500 0.069 0.778
Rh4 Rh 0.500 0.722 0.431
Rh5 Rh 0.500 0.931 0.222
Rh6 Rh 0.500 0.278 0.569
Rh7 Rh 0.500 0.569 0.722
Rh8 Rh 0.500 0.431 0.278
Rh9 Rh 0.500 0.500 0.000
Rh10 Rh 0.500 0.000 0.500

Calculated values (eV per atom) of formation energy for the records, taken in order: -0.63 -0.66.